The following is a DFT calculation (PBE) of a geometry-optimized ScCdSnAu structure.

abc: 4.948 4.948 4.948
angles: 60.00 60.00 60.00
Fractional coordinates of all 4 atoms:
Sc: 0.000 0.000 0.000
Cd: 0.500 0.500 0.500
Sn: 0.750 0.750 0.750
Au: 0.250 0.250 0.250

Results
**SG**: F-43m, No. 216
**Crystal system**: cubic
**VASP energy**: -4.00 eV/atom
**Energy of formation from the pure elements**: -142 kJ/mol of formula units